Entry 1:
## Nd6Cd2Pt (PBE)

Data for a relaxed Nd6Cd2Pt crystal.

a b c (Å): 6.325 9.380 10.784
angles (deg): 90.00 119.07 90.00
Space group P2_1/c (No. 14)
Unique sites:
Nd: 0.060 0.183 0.466 [4 per cell]
Nd: 0.351 0.675 0.448 [4 per cell]
Nd: 0.386 0.032 0.282 [4 per cell]
Cd: 0.140 0.109 0.763 [4 per cell]
Pt: 0.000 0.000 0.000 [2 per cell]

Size of the total moment = 0.0 μB per formula unit
Uncorrected energy = -0.3196 Ry/atom
ΔH_f (0 K) = -0.295 eV/atom
N(E_F) = 1.330 states/eV/atom

***

Entry 2:
## Mn2TcAu (PBE)

Data for a relaxed Mn2TcAu crystal.

a b c (Å): 3.788 3.788 8.069
angles (deg): 90.00 90.00 90.00
Space group I-4m2 (No. 119)
Unique sites:
Mn: 0.000 0.000 0.000 [2 per cell]
Mn: 0.000 0.500 0.250 [2 per cell]
Tc: 0.000 0.500 0.750 [2 per cell]
Au: 0.000 0.000 0.500 [2 per cell]

Size of the total moment = 4.7 μB per formula unit
Uncorrected energy = -0.5712 Ry/atom
ΔH_f (0 K) = 0.223 eV/atom
N(E_F) = 0.816 states/eV/atom

***

Entry 3:
## Tl2TeSe (PBE)

Data for a relaxed Tl2TeSe crystal.

a b c (Å): 3.480 3.480 10.015
angles (deg): 90.00 90.00 90.00
Space group P4/mmm (No. 123)
Unique sites:
Tl: 0.000 0.000 0.214 [2 per cell]
Te: 0.500 0.500 0.500 [1 per cell]
Se: 0.500 0.500 0.000 [1 per cell]

Size of the total moment = 0.0 μB per formula unit
Uncorrected energy = -0.2172 Ry/atom
N(E_F) = 0.624 states/eV/atom
Energy above the most stable polymorph in this dataset = 39 kJ/mol of formula units
Formation energy without anion corrections = -0.115 eV per atom

***

Entry 4:
## KNaTe (PBE)

Data for a relaxed KNaTe crystal.

a b c (Å): 4.768 12.354 7.295
angles (deg): 90.00 90.00 90.00
Space group Cmcm (No. 63)
Unique sites:
K: 0.000 0.195 0.250 [4 per cell]
Na: 0.000 0.500 0.000 [4 per cell]
Te: 0.000 0.102 0.750 [4 per cell]

Size of the total moment = 0.0 μB per formula unit
Uncorrected energy = -0.2018 Ry/atom
Formation energy without anion corrections = -0.894 eV per atom

***

Entry 5:
## Mg2OsRu (PBE)

Data for a relaxed Mg2OsRu crystal.

a b c (Å): 4.711 4.711 2.794
angles (deg): 90.00 90.00 90.00
Space group P4/mmm (No. 123)
Unique sites:
Mg: 0.000 0.500 0.000 [2 per cell]
Os: 0.000 0.000 0.500 [1 per cell]
Ru: 0.500 0.500 0.500 [1 per cell]

Size of the total moment = 1.0 μB per formula unit
Uncorrected energy = -0.4083 Ry/atom
ΔH_f (0 K) = 0.368 eV/atom
N(E_F) = 1.016 states/eV/atom
Energy above the most stable polymorph in this dataset = 140 kJ/mol of formula units

***

Entry 6:
## Co2AsOs (PBE)

Data for a relaxed Co2AsOs crystal.

a b c (Å): 2.908 4.193 4.214
angles (deg): 90.00 90.00 90.00
Space group Pmmm (No. 47)
Unique sites:
Co: 0.000 0.000 0.000 [1 per cell]
Co: 0.500 0.000 0.500 [1 per cell]
As: 0.000 0.500 0.500 [1 per cell]
Os: 0.500 0.500 0.000 [1 per cell]

Size of the total moment = 2.8 μB per formula unit
Uncorrected energy = -0.5311 Ry/atom
ΔH_f (0 K) = 0.297 eV/atom
N(E_F) = 1.061 states/eV/atom

***

Entry 7:
## TbPuHgSb (PBE)

Data for a relaxed TbPuHgSb crystal.

a b c (Å): 7.530 7.530 7.530
angles (deg): 90.00 90.00 90.00
Space group F-43m (No. 216)
Unique sites:
Tb: 0.000 0.000 0.000 [4 per cell]
Pu: 0.000 0.000 0.500 [4 per cell]
Hg: 0.250 0.250 0.250 [4 per cell]
Sb: 0.250 0.250 0.750 [4 per cell]

Size of the total moment = 6.8 μB per formula unit
Uncorrected energy = -0.4652 Ry/atom
N(E_F) = 2.978 states/eV/atom
Formation energy without anion corrections = -0.483 eV per atom

***

Entry 8:
## Li2AlIn (PBE)

Data for a relaxed Li2AlIn crystal.

a b c (Å): 3.013 3.013 8.675
angles (deg): 90.00 90.00 90.00
Space group P4mm (No. 99)
Unique sites:
Li: 0.000 0.000 0.000 [1 per cell]
Li: 0.500 0.500 0.271 [1 per cell]
Al: 0.000 0.000 0.490 [1 per cell]
In: 0.500 0.500 0.756 [1 per cell]

Size of the total moment = 0.0 μB per formula unit
Uncorrected energy = -0.1938 Ry/atom
ΔH_f (0 K) = -0.060 eV/atom
N(E_F) = 0.434 states/eV/atom

***

Entry 9:
## Nd2DyCdHg4 (PBE)

Data for a relaxed Nd2DyCdHg4 crystal.

a b c (Å): 5.2313 5.2313 26.5252
angles (deg): 90.00 90.00 120.00
Space group R-3m (No. 166, hexagonal axes)
Unique sites:
Nd: 0.0000 0.0000 0.2417 [6 per cell]
Dy: 0.0000 0.0000 0.0000 [3 per cell]
Cd: 0.0000 0.0000 0.5000 [3 per cell]
Hg: 0.0000 0.0000 0.1214 [6 per cell]
Hg: 0.0000 0.0000 0.3673 [6 per cell]

Size of the total moment = 0.0 μB per formula unit
Uncorrected energy = -0.1824 Ry/atom
ΔH_f (0 K) = -0.449 eV/atom
N(E_F) = 0.565 states/eV/atom

***

Entry 10:
## BeTl2TeO6 (PBE)

Data for a relaxed BeTl2TeO6 crystal.

a b c (Å): 5.5828 5.5828 4.9914
angles (deg): 90.00 90.00 120.00
Space group P-3m1 (No. 164)
Unique sites:
Be: 0.0000 0.0000 0.0000 [1 per cell]
Tl: 0.3333 0.6667 0.1599 [2 per cell]
Te: 0.0000 0.0000 0.5000 [1 per cell]
O: 0.1504 0.3007 0.7636 [6 per cell]

Size of the total moment = 0.0 μB per formula unit
Uncorrected energy = -0.3663 Ry/atom
N(E_F) = 0.298 states/eV/atom
Formation energy without anion corrections = -0.849 eV per atom

***

Entry 11:
## YTl2Se (PBE)

Data for a relaxed YTl2Se crystal.

a b c (Å): 7.610 7.610 7.610
angles (deg): 90.00 90.00 90.00
Space group Fm-3m (No. 225)
Unique sites:
Y: 0.000 0.000 0.000 [4 per cell]
Tl: 0.250 0.250 0.250 [8 per cell]
Se: 0.000 0.000 0.500 [4 per cell]

Size of the total moment = 0.0 μB per formula unit
Uncorrected energy = -0.2758 Ry/atom
N(E_F) = 1.043 states/eV/atom
Energy above the most stable polymorph in this dataset = 236 kJ/mol of formula units
Formation energy without anion corrections = -0.082 eV per atom

***

Entry 12:
## CsHfCr3 (PBE)

Data for a relaxed CsHfCr3 crystal.

a b c (Å): 4.876 4.876 4.876
angles (deg): 90.00 90.00 90.00
Space group Pm-3m (No. 221)
Unique sites:
Cs: 0.000 0.000 0.000 [1 per cell]
Hf: 0.500 0.500 0.500 [1 per cell]
Cr: 0.000 0.000 0.500 [3 per cell]

Size of the total moment = 8.9 μB per formula unit
Uncorrected energy = -0.3964 Ry/atom
ΔH_f (0 K) = 2.542 eV/atom
N(E_F) = 0.678 states/eV/atom

***

| no. | V (Å³/atom) |
| --- | --- |
| 1 | 31.06 |
| 2 | 14.48 |
| 3 | 30.32 |
| 4 | 35.81 |
| 5 | 15.50 |
| 6 | 12.85 |
| 7 | 26.68 |
| 8 | 19.69 |
| 9 | 26.19 |
| 10 | 13.47 |
| 11 | 27.54 |
| 12 | 23.19 |